Entry 1:
A geometry-optimized TlCuTe2As structure. Source: Alexandria via LeMat-Bulk, functional GGA-PBE.

a b c (Å): 5.2329 7.6695 7.5009
angles (deg): 92.92 90.00 90.00
Fractional coordinates of all 10 atoms:
Tl  0.1393  0.5000  0.7500
Tl  0.8607  0.5000  0.2500
Cu  0.0000  0.0000  0.0000
Cu  0.0000  0.0000  0.5000
Te  0.6782  0.7630  0.9269
Te  0.6782  0.2370  0.5731
Te  0.3218  0.7630  0.4269
Te  0.3218  0.2370  0.0731
As  0.6691  0.0000  0.2500
As  0.3309  0.0000  0.7500

Summary:
N(E_F), states/eV per cell: 3.75
Volume, A^3/atom: 30.1
Mass density, g/cm³: 6.6
Magnetization, μB/cell: 0.00
Final energy, hartree per atom: -0.1263

Entry 2:
A geometry-optimized LaLuTe2 structure. Source: Alexandria via LeMat-Bulk, functional GGA-PBE.

a b c (Å): 5.4270 5.4270 5.4270
angles (deg): 60.00 60.00 60.00
Fractional coordinates of all 4 atoms:
Lu  0.0000  0.0000  0.0000
Te  0.2500  0.2500  0.2500
Te  0.7500  0.7500  0.7500
La  0.5000  0.5000  0.5000

Summary:
N(E_F), states/eV per cell: 3.41
Volume, A^3/atom: 28.3
Mass density, g/cm³: 8.4
Magnetization, μB/cell: 0.85
Final energy, hartree per atom: -0.1882

Entry 3:
A geometry-optimized LiNi2Br structure. Source: Alexandria via LeMat-Bulk, functional GGA-PBE.

a b c (Å): 3.2918 3.2918 5.2514
angles (deg): 90.00 90.00 90.00
Fractional coordinates of all 4 atoms:
Br  0.5000  0.5000  0.2500
Li  0.5000  0.5000  0.7500
Ni  0.0000  0.0000  0.9804
Ni  0.0000  0.0000  0.5196

Summary:
N(E_F), states/eV per cell: 3.70
Volume, A^3/atom: 14.2
Mass density, g/cm³: 6.0
Magnetization, μB/cell: 1.60
Final energy, hartree per atom: -0.1281

Entry 4:
A geometry-optimized PrErAg structure. Source: Alexandria via LeMat-Bulk, functional GGA-PBE.

a b c (Å): 4.8469 4.8468 7.4979
angles (deg): 90.01 90.01 90.00
Fractional coordinates of all 6 atoms:
Pr  0.9805  0.9929  0.5043
Pr  0.4806  0.4930  0.2534
Er  0.4805  0.9929  0.8788
Er  0.9805  0.4929  0.8788
Ag  0.9806  0.9928  0.1106
Ag  0.4806  0.4927  0.6471

Summary:
N(E_F), states/eV per cell: 7.54
Volume, A^3/atom: 29.4
Mass density, g/cm³: 7.8
Magnetization, μB/cell: 0.00
DFT formation energy, eV per formula unit: -0.42

Entry 5:
A geometry-optimized Tb2HoUAs4 structure. Source: Alexandria via LeMat-Bulk, functional GGA-PBE.

a b c (Å): 4.0977 7.1197 7.1224
angles (deg): 109.19 90.00 90.00
Fractional coordinates of all 8 atoms:
Tb  0.5000  0.0000  0.5000
Tb  0.0000  0.5000  0.5000
Ho  0.0000  0.0000  0.0000
U  0.5000  0.5000  0.0000
As  0.5000  0.2516  0.2450
As  0.5000  0.7484  0.7550
As  0.0000  0.2523  0.7540
As  0.0000  0.7477  0.2460

Summary:
N(E_F), states/eV per cell: 8.12
Volume, A^3/atom: 24.5
Mass density, g/cm³: 8.6
Magnetization, μB/cell: 2.31
DFT formation energy, eV per formula unit: -10.65

Entry 6:
A geometry-optimized Th5Mg3In3 structure. Source: Alexandria via LeMat-Bulk, functional GGA-PBE.

a b c (Å): 3.2938 10.6261 10.6262
angles (deg): 120.00 90.03 89.99
Fractional coordinates of all 11 atoms:
Th  0.5000  0.6667  0.3333
Th  0.5000  0.3333  0.6667
Th  0.5001  0.3533  0.0000
Th  0.5001  0.6467  0.6467
Th  0.4998  0.0000  0.3533
Mg  0.4999  0.8443  0.0000
Mg  0.4999  0.1557  0.1557
Mg  0.5001  0.0000  0.8443
In  0.0000  0.6183  0.0000
In  0.0000  0.0000  0.6183
In  0.0000  0.3817  0.3817

Summary:
N(E_F), states/eV per cell: 10.05
Volume, A^3/atom: 29.3
Mass density, g/cm³: 8.1
Magnetization, μB/cell: 0.00
DFT formation energy, eV per formula unit: 2.79

Entry 7:
A geometry-optimized GeAsP structure. Source: Alexandria via LeMat-Bulk, functional GGA-PBE.

a b c (Å): 5.0870 5.1003 5.4490
angles (deg): 89.32 89.29 89.60
Fractional coordinates of all 6 atoms:
Ge  0.1505  0.5698  0.5999
Ge  0.9911  0.2288  0.3026
As  0.3282  0.0500  0.0092
As  0.6602  0.4059  0.0100
P  0.4885  0.7256  0.2920
P  0.7958  0.8862  0.5305

Summary:
N(E_F), states/eV per cell: 0.01
Volume, A^3/atom: 23.6
Mass density, g/cm³: 4.2
Magnetization, μB/cell: 0.00
DFT formation energy, eV per formula unit: 0.17

Entry 8:
A geometry-optimized TePtSe2 structure. Source: Alexandria via LeMat-Bulk, functional GGA-PBE.

a b c (Å): 6.3436 6.3436 6.3436
angles (deg): 146.03 138.16 54.95
Fractional coordinates of all 4 atoms:
Pt  0.2419  0.7419  0.5000
Se  0.0836  0.0836  0.0000
Se  0.7591  0.2591  0.5000
Te  0.4154  0.4154  0.0000

Summary:
N(E_F), states/eV per cell: 1.79
Volume, A^3/atom: 23.6
Mass density, g/cm³: 8.4
Magnetization, μB/cell: 0.00
Final energy, hartree per atom: -0.1460

What is the formula in the second record? LaLuTe2

Look up the magnetization of the first one. 0.00 μB/cell